Entry from Alexandria: Li6V3P8O29 after structural relaxation (PBE with a Hubbard U).

Structure (POSCAR):
```
Li6V3P8O29
1.0
-4.288 -8.342 -2.881
5.531 -7.491 -3.135
0.569 -5.238 13.095
Li V P O
12 6 16 58
direct
0.702 0.072 0.443
0.167 0.828 0.455
0.334 0.339 0.613
0.357 0.325 0.107
0.077 0.692 0.936
0.219 0.100 0.928
0.906 0.771 0.564
0.089 0.219 0.440
0.781 0.906 0.060
0.882 0.345 0.041
0.773 0.329 0.565
0.291 0.795 0.058
0.993 0.574 0.751
0.008 0.425 0.259
0.573 0.991 0.250
0.431 0.998 0.744
0.560 0.439 0.752
0.442 0.553 0.250
0.702 0.214 0.167
0.680 0.093 0.662
0.225 0.687 0.660
0.322 0.338 0.870
0.341 0.320 0.372
0.098 0.669 0.159
0.922 0.763 0.345
0.238 0.094 0.148
0.756 0.919 0.845
0.093 0.235 0.655
0.904 0.321 0.835
0.666 0.670 0.627
0.685 0.646 0.134
0.766 0.315 0.351
0.308 0.908 0.326
0.311 0.773 0.842
0.749 0.246 0.443
0.667 0.256 0.658
0.756 0.992 0.937
0.678 0.067 0.165
0.533 0.359 0.171
0.468 0.342 0.824
0.371 0.522 0.669
0.232 0.764 0.934
0.262 0.655 0.154
0.497 0.170 0.338
0.511 0.119 0.675
0.340 0.466 0.323
0.327 0.336 0.977
0.334 0.332 0.478
0.173 0.494 0.838
0.380 0.115 0.172
0.320 0.191 0.831
0.078 0.665 0.660
0.010 0.779 0.250
0.992 0.793 0.432
0.004 0.746 0.072
0.120 0.504 0.178
0.197 0.311 0.334
0.907 0.754 0.837
0.113 0.379 0.673
0.255 0.089 0.656
0.777 0.012 0.756
0.763 0.995 0.576
0.205 0.003 0.407
0.750 0.899 0.337
0.937 0.601 0.345
0.086 0.253 0.159
0.814 0.673 0.664
0.897 0.481 0.817
0.995 0.246 0.923
0.001 0.252 0.567
0.996 0.216 0.744
0.918 0.324 0.346
0.666 0.810 0.155
0.607 0.910 0.828
0.820 0.522 0.199
0.731 0.588 0.035
0.666 0.671 0.521
0.662 0.521 0.669
0.468 0.905 0.317
0.519 0.819 0.673
0.740 0.342 0.836
0.782 0.194 0.269
0.806 0.214 0.090
0.621 0.474 0.328
0.528 0.651 0.169
0.473 0.627 0.826
0.320 0.924 0.837
0.255 0.012 0.055
0.226 0.979 0.226
0.331 0.743 0.332
0.229 0.780 0.578
0.200 0.782 0.757
```

Output
E above lowest polymorph   0.0034 eV per atom